# 1
# Ho3Mg3AlIn2

A relaxed structure of Ho3Mg3AlIn2 (PBE, OQMD).

a b c (Å): 7.470 7.470 4.609
angles (deg): 90.00 90.00 120.00
Positions (direct):
Al  0.000  0.000  0.000
In  0.667  0.333  0.500
In  0.333  0.667  0.500
Mg  0.237  0.000  0.500
Mg  0.763  0.763  0.500
Mg  0.000  0.237  0.500
Ho  0.430  0.430  0.000
Ho  0.570  0.000  0.000
Ho  0.000  0.570  0.000

Summary:
E: -30.74 eV for the cell shown
Symmetry: P-62m, No. 189
Magnetization: 0.00 μB/cell

# 2
# LiGe5Pt3

A relaxed structure of LiGe5Pt3 (PBE, OQMD).

a b c (Å): 5.300 5.300 7.378
angles (deg): 90.00 90.00 120.00
Positions (direct):
Ge  0.000  0.000  0.500
Ge  0.333  0.667  0.189
Ge  0.667  0.333  0.189
Ge  0.667  0.333  0.811
Ge  0.333  0.667  0.811
Li  0.000  0.000  0.000
Pt  0.500  0.500  0.500
Pt  0.000  0.500  0.500
Pt  0.500  0.000  0.500

Summary:
E: -43.39 eV for the cell shown
Symmetry: P6/mmm, No. 191
Magnetization: 0.01 μB/cell

# 3
# CsDyNb

A relaxed structure of CsDyNb (PBE, OQMD).

a b c (Å): 5.107 5.107 5.107
angles (deg): 60.00 60.00 60.00
Positions (direct):
Cs  0.000  0.000  0.000
Nb  0.250  0.250  0.250
Dy  0.750  0.750  0.750

Summary:
E: -9.28 eV for the cell shown
Symmetry: F-43m, No. 216
Magnetization: 1.55 μB/cell

# 4
# Pr2Os2O5

A relaxed structure of Pr2Os2O5 (PBE, OQMD).

a b c (Å): 7.101 3.986 3.986
angles (deg): 90.00 90.00 90.00
Positions (direct):
O  0.500  0.500  0.500
O  0.238  0.500  0.000
O  0.238  0.000  0.500
O  0.762  0.500  0.000
O  0.762  0.000  0.500
Os  0.810  0.500  0.500
Os  0.190  0.500  0.500
Pr  0.000  0.000  0.000
Pr  0.500  0.000  0.000

Summary:
Polymorph energy (0 for the lowest one): 0 meV/atom
E: -71.89 eV for the cell shown
Symmetry: P4/mmm, No. 123
Magnetization: 0.04 μB/cell

# 5
# LiFeCuPb

A relaxed structure of LiFeCuPb (PBE, OQMD).

a b c (Å): 4.345 4.345 4.345
angles (deg): 60.00 60.00 60.00
Positions (direct):
Li  0.750  0.750  0.750
Cu  0.500  0.500  0.500
Pb  0.000  0.000  0.000
Fe  0.250  0.250  0.250

Summary:
Polymorph energy (0 for the lowest one): 0 meV/atom
E: -16.73 eV for the cell shown
Symmetry: F-43m, No. 216
Magnetization: 2.32 μB/cell

# 6
# TbTlNiTe3

A relaxed structure of TbTlNiTe3 (PBE, OQMD).

a b c (Å): 9.059 4.168 10.974
angles (deg): 90.00 112.22 90.00
Positions (direct):
Te  0.699  0.750  0.541
Te  0.449  0.750  0.173
Te  0.551  0.250  0.827
Te  0.061  0.250  0.850
Te  0.939  0.750  0.150
Te  0.301  0.250  0.459
Tb  0.190  0.250  0.149
Tb  0.810  0.750  0.851
Ni  0.408  0.750  0.390
Ni  0.592  0.250  0.610
Tl  0.231  0.750  0.694
Tl  0.769  0.250  0.306

Summary:
Polymorph energy (0 for the lowest one): 8 meV/atom
E: -52.10 eV for the cell shown
Symmetry: P2_1/m, No. 11
Magnetization: 0.03 μB/cell